Below is a relaxed Ce3HoTc crystal, with properties calculated at the PBE level.

Structure (POSCAR):
```
Ce3HoTc
1.0
-0.686 6.687 -1.184
-3.903 3.696 4.595
4.752 4.300 2.990
Ce Tc Ho
6 2 2
direct
0.263 0.985 0.501 Ce
0.803 0.435 0.435 Ce
0.737 0.015 0.499 Ce
0.263 0.501 0.985 Ce
0.737 0.499 0.015 Ce
0.197 0.565 0.565 Ce
0.469 0.268 0.268 Tc
0.531 0.732 0.732 Tc
0.213 0.043 0.043 Ho
0.787 0.957 0.957 Ho
```

Output
energy of formation from the pure elements: 0.057 eV per atom
SG: No. 12
calculated total energy: -0.4772 Ry per atom
distance to the lowest polymorph of the same formula: 0.00 kcal/mol of atoms

Below is a relaxed CeHo2Tc crystal, with properties calculated at the PBE level.

Structure (POSCAR):
```
CeHo2Tc
1.0
-3.292 -0.781 3.813
-2.803 -4.257 0.116
0.956 -3.587 3.499
Ho Tc Ce
2 1 1
direct
0.250 0.250 0.250 Ho
0.750 0.750 0.750 Ho
0.000 0.000 0.000 Tc
0.500 0.500 0.500 Ce
```

Output
energy of formation from the pure elements: 0.206 eV per atom
SG: No. 225
calculated total energy: -0.4526 Ry per atom
distance to the lowest polymorph of the same formula: 9.04 kcal/mol of atoms

Below is a relaxed Ce2HoTc2 crystal, with properties calculated at the PBE level.

Structure (POSCAR):
```
Ce2HoTc2
1.0
-1.215 1.626 -4.643
0.358 -5.040 -1.859
-8.418 -0.814 1.917
Tc Ce Ho
4 4 2
direct
0.250 0.322 0.913 Tc
0.750 0.678 0.087 Tc
0.250 0.599 0.586 Tc
0.750 0.401 0.414 Tc
0.250 0.897 0.879 Ce
0.750 0.103 0.121 Ce
0.250 0.154 0.539 Ce
0.750 0.846 0.461 Ce
0.750 0.445 0.767 Ho
0.250 0.555 0.233 Ho
```

Output
energy of formation from the pure elements: -0.092 eV per atom
SG: No. 11
calculated total energy: -0.5532 Ry per atom

Below is a relaxed CeHo2Tc crystal, with properties calculated at the PBE level.

Structure (POSCAR):
```
CeHo2Tc
1.0
-3.502 -1.130 -1.073
3.445 0.683 -5.116
2.732 -9.066 0.628
Tc Ho Ce
2 4 2
direct
0.222 0.443 0.750 Tc
0.778 0.557 0.250 Tc
0.143 0.286 0.428 Ho
0.857 0.714 0.928 Ho
0.857 0.714 0.572 Ho
0.143 0.286 0.072 Ho
0.583 0.167 0.750 Ce
0.417 0.833 0.250 Ce
```

Output
energy of formation from the pure elements: -0.136 eV per atom
SG: No. 63
calculated total energy: -0.4777 Ry per atom
distance to the lowest polymorph of the same formula: 1.15 kcal/mol of atoms

Below is a relaxed Ce2Ho3Tc2 crystal, with properties calculated at the PBE level.

Structure (POSCAR):
```
Ce2Ho3Tc2
1.0
3.749 -0.007 -0.837
-2.290 5.536 -1.498
-0.021 0.317 8.706
Tc Ho Ce
2 3 2
direct
0.017 0.815 0.219 Tc
0.983 0.185 0.781 Tc
0.798 0.181 0.416 Ho
0.500 0.000 0.000 Ho
0.202 0.819 0.584 Ho
0.634 0.465 0.803 Ce
0.366 0.535 0.197 Ce
```

Output
energy of formation from the pure elements: -0.128 eV per atom
SG: No. 12
calculated total energy: -0.4959 Ry per atom

Below is a relaxed CeHo2Tc2 crystal, with properties calculated at the PBE level.

Structure (POSCAR):
```
CeHo2Tc2
1.0
-0.523 -4.147 0.679
4.196 -2.105 3.575
-0.993 -1.102 5.711
Tc Ho Ce
2 2 1
direct
0.000 0.767 0.733 Tc
0.000 0.233 0.267 Tc
0.302 0.198 0.698 Ho
0.698 0.802 0.302 Ho
0.500 0.500 0.000 Ce
```

Output
energy of formation from the pure elements: -0.157 eV per atom
SG: No. 71
calculated total energy: -0.5381 Ry per atom

Below is a relaxed CeHo2Tc crystal, with properties calculated at the PBE level.

Structure (POSCAR):
```
CeHo2Tc
1.0
-2.911 3.364 -4.469
2.932 -4.142 -5.029
-7.501 -5.873 0.465
Ce Tc Ho
4 4 8
direct
0.640 0.555 0.250 Ce
0.860 0.055 0.250 Ce
0.360 0.445 0.750 Ce
0.140 0.945 0.750 Ce
0.500 0.864 0.250 Tc
0.000 0.636 0.750 Tc
0.500 0.136 0.750 Tc
0.000 0.364 0.250 Tc
0.831 0.323 0.565 Ho
0.169 0.677 0.435 Ho
0.331 0.177 0.065 Ho
0.831 0.323 0.935 Ho
0.669 0.823 0.565 Ho
0.669 0.823 0.935 Ho
0.169 0.677 0.065 Ho
0.331 0.177 0.435 Ho
```

Output
energy of formation from the pure elements: -0.186 eV per atom
SG: No. 62
calculated total energy: -0.4814 Ry per atom
distance to the lowest polymorph of the same formula: 0.00 kcal/mol of atoms

Below is a relaxed Ce3Ho2Tc2 crystal, with properties calculated at the PBE level.

Structure (POSCAR):
```
Ce3Ho2Tc2
1.0
-0.739 -3.132 -2.167
4.696 -0.957 -3.690
5.241 -5.858 3.206
Tc Ho Ce
2 2 3
direct
0.149 0.930 0.772 Tc
0.851 0.070 0.228 Tc
0.163 0.484 0.189 Ho
0.837 0.516 0.811 Ho
0.614 0.201 0.571 Ce
0.500 0.000 0.000 Ce
0.386 0.799 0.429 Ce
```

Output
energy of formation from the pure elements: -0.080 eV per atom
SG: No. 12
calculated total energy: -0.5066 Ry per atom

Below is a relaxed CeHo2Tc crystal, with properties calculated at the PBE level.

Structure (POSCAR):
```
CeHo2Tc
1.0
3.434 0.000 0.000
0.000 3.434 0.000
0.000 0.000 8.853
Ce Ho Tc
1 2 1
direct
0.500 0.500 0.500 Ce
0.000 0.000 0.814 Ho
0.000 0.000 0.186 Ho
0.500 0.500 0.000 Tc
```

Output
energy of formation from the pure elements: 0.063 eV per atom
SG: No. 123
calculated total energy: -0.4631 Ry per atom
distance to the lowest polymorph of the same formula: 5.74 kcal/mol of atoms

Below is a relaxed CeHoTmTc crystal, with properties calculated at the PBE level.

Structure (POSCAR):
```
CeHoTmTc
1.0
-0.437 4.192 -1.517
-3.640 -2.433 0.951
1.612 0.150 6.557
Ce Tm Ho Tc
1 1 1 1
direct
0.507 0.618 0.125 Ce
0.973 0.851 0.824 Tm
0.399 0.064 0.463 Ho
0.814 0.271 0.085 Tc
```

Output
energy of formation from the pure elements: 0.116 eV per atom
SG: No. 160
calculated total energy: -0.4573 Ry per atom

Below is a relaxed CeYHoTc crystal, with properties calculated at the PBE level.

Structure (POSCAR):
```
CeYHoTc
1.0
-0.314 -3.929 -2.089
3.175 2.905 -1.176
3.149 -0.968 6.109
Y Ce Tc Ho
1 1 1 1
direct
0.398 0.063 0.461 Y
0.507 0.618 0.125 Ce
0.814 0.271 0.086 Tc
0.973 0.851 0.824 Ho
```

Output
energy of formation from the pure elements: 0.110 eV per atom
SG: No. 160
calculated total energy: -0.4943 Ry per atom

Below is a relaxed Ce5Ho3Te8 crystal, with properties calculated at the PBE level.

Structure (POSCAR):
```
Ce5Ho3Te8
1.0
7.649 0.000 4.381
2.570 7.204 4.381
-0.021 -0.015 8.904
Ce Ho Te
5 3 8
direct
0.000 0.000 0.000 Ce
0.000 0.500 0.000 Ce
0.500 0.500 0.000 Ce
0.500 0.000 0.000 Ce
0.500 0.500 0.500 Ce
0.000 0.500 0.500 Ho
0.000 0.000 0.500 Ho
0.500 0.000 0.500 Ho
0.246 0.246 0.263 Te
0.754 0.754 0.737 Te
0.759 0.250 0.741 Te
0.750 0.750 0.259 Te
0.250 0.759 0.741 Te
0.250 0.250 0.741 Te
0.241 0.750 0.259 Te
0.750 0.241 0.259 Te
```

Output
SG: No. 166
calculated total energy: -0.4125 Ry per atom
formation energy without anion corrections: -1.328 eV/atom

Below is a relaxed Ce2HoTe5 crystal, with properties calculated at the PBE level.

Structure (POSCAR):
```
Ce2HoTe5
1.0
-3.620 0.384 -3.922
-0.767 -7.444 -0.020
-5.458 0.549 5.090
Te Ho Ce
5 1 2
direct
0.000 0.721 0.279 Te
0.000 0.279 0.279 Te
0.000 0.721 0.721 Te
0.500 0.000 0.000 Te
0.000 0.279 0.721 Te
0.000 0.000 0.000 Ho
0.500 0.500 0.000 Ce
0.500 0.000 0.500 Ce
```

Output
SG: No. 123
calculated total energy: -0.3454 Ry per atom
formation energy without anion corrections: -0.680 eV/atom

Below is a relaxed CeHo3Te6 crystal, with properties calculated at the PBE level.

Structure (POSCAR):
```
CeHo3Te6
1.0
4.379 0.000 0.000
0.000 12.489 -0.031
0.000 -4.203 12.109
Ho Te Ce
6 12 2
direct
0.750 0.682 0.501 Ho
0.250 0.845 0.918 Ho
0.250 0.318 0.499 Ho
0.250 0.564 0.165 Ho
0.750 0.436 0.835 Ho
0.750 0.155 0.082 Ho
0.250 0.517 0.383 Te
0.750 0.804 0.750 Te
0.750 0.915 0.097 Te
0.750 0.117 0.467 Te
0.250 0.609 0.940 Te
0.250 0.259 0.724 Te
0.750 0.741 0.276 Te
0.250 0.196 0.250 Te
0.750 0.391 0.060 Te
0.250 0.085 0.903 Te
0.250 0.883 0.533 Te
0.750 0.483 0.617 Te
0.250 0.953 0.303 Ce
0.750 0.047 0.697 Ce
```

Output
SG: No. 11
calculated total energy: -0.3841 Ry per atom
formation energy without anion corrections: -1.374 eV/atom

Below is a relaxed CeHo5Te6 crystal, with properties calculated at the PBE level.

Structure (POSCAR):
```
CeHo5Te6
1.0
7.420 -0.136 -1.401
-4.027 6.234 -1.401
0.149 0.267 7.576
Ho Te Ce
5 6 1
direct
0.668 0.332 0.000 Ho
0.838 0.162 0.500 Ho
0.332 0.668 0.000 Ho
0.500 0.500 0.500 Ho
0.162 0.838 0.500 Ho
0.086 0.427 0.256 Te
0.259 0.259 0.750 Te
0.573 0.914 0.744 Te
0.741 0.741 0.250 Te
0.427 0.086 0.256 Te
0.914 0.573 0.744 Te
0.000 0.000 0.000 Ce
```

Output
SG: No. 12
calculated total energy: -0.3852 Ry per atom
formation energy without anion corrections: -1.268 eV/atom

Below is a relaxed CeHo2Te crystal, with properties calculated at the PBE level.

Structure (POSCAR):
```
CeHo2Te
1.0
-0.057 1.087 3.616
-3.098 -0.549 2.088
2.647 -9.456 4.857
Ho Ce Te
2 1 1
direct
0.898 0.898 0.305 Ho
0.102 0.102 0.695 Ho
0.000 0.000 0.000 Ce
0.500 0.500 0.500 Te
```

Output
SG: No. 166
calculated total energy: -0.3467 Ry per atom
formation energy without anion corrections: -0.159 eV/atom
distance to the lowest polymorph of the same formula: 8.11 kcal/mol of atoms

Below is a relaxed CeHoTe3 crystal, with properties calculated at the PBE level.

Structure (POSCAR):
```
CeHoTe3
1.0
-0.937 0.378 -4.298
-7.605 -2.976 1.396
-5.789 16.047 2.674
Te Ce Ho
12 4 4
direct
0.750 0.995 0.606 Te
0.250 0.005 0.394 Te
0.250 0.505 0.106 Te
0.750 0.345 0.284 Te
0.250 0.380 0.563 Te
0.750 0.620 0.437 Te
0.750 0.120 0.063 Te
0.250 0.655 0.716 Te
0.750 0.845 0.216 Te
0.250 0.880 0.937 Te
0.250 0.155 0.784 Te
0.750 0.495 0.894 Te
0.250 0.134 0.201 Ce
0.750 0.866 0.799 Ce
0.750 0.366 0.701 Ce
0.250 0.634 0.299 Ce
0.750 0.731 0.042 Ho
0.250 0.769 0.542 Ho
0.750 0.231 0.458 Ho
0.250 0.269 0.958 Ho
```

Output
SG: No. 62
calculated total energy: -0.3938 Ry per atom
formation energy without anion corrections: -1.370 eV/atom

Below is a relaxed CeHo2Te5 crystal, with properties calculated at the PBE level.

Structure (POSCAR):
```
CeHo2Te5
1.0
-4.422 1.162 -6.742
-5.614 -5.205 2.785
1.625 7.364 5.124
Te Ce Ho
10 2 4
direct
0.193 0.010 0.702 Te
0.010 0.510 0.702 Te
0.490 0.307 0.298 Te
0.500 0.500 0.000 Te
0.307 0.807 0.298 Te
0.510 0.693 0.702 Te
0.693 0.193 0.702 Te
0.000 0.000 0.000 Te
0.990 0.490 0.298 Te
0.807 0.990 0.298 Te
0.750 0.750 0.500 Ce
0.250 0.250 0.500 Ce
0.849 0.651 0.000 Ho
0.651 0.151 0.000 Ho
0.349 0.849 0.000 Ho
0.151 0.349 0.000 Ho
```

Output
SG: No. 140
calculated total energy: -0.3727 Ry per atom
formation energy without anion corrections: -1.221 eV/atom

Below is a relaxed CeHoTe3 crystal, with properties calculated at the PBE level.

Structure (POSCAR):
```
CeHoTe3
1.0
-1.001 -4.140 -0.645
5.808 1.517 -4.365
6.737 -2.870 7.968
Ce Te Ho
2 6 2
direct
0.248 0.495 0.250 Ce
0.752 0.505 0.750 Ce
0.354 0.708 0.564 Te
0.090 0.180 0.750 Te
0.354 0.708 0.936 Te
0.646 0.292 0.436 Te
0.646 0.292 0.064 Te
0.910 0.820 0.250 Te
0.000 0.000 0.500 Ho
0.000 0.000 0.000 Ho
```

Output
SG: No. 63
calculated total energy: -0.3937 Ry per atom
formation energy without anion corrections: -1.369 eV/atom

Below is a relaxed CeHo2Te crystal, with properties calculated at the PBE level.

Structure (POSCAR):
```
CeHo2Te
1.0
4.660 0.000 0.000
0.000 4.816 0.000
0.000 0.000 4.816
Ho Te Ce
2 1 1
direct
0.000 0.500 0.000 Ho
0.000 0.000 0.500 Ho
0.500 0.000 0.000 Te
0.500 0.500 0.500 Ce
```

Output
SG: No. 123
calculated total energy: -0.3669 Ry per atom
formation energy without anion corrections: -0.433 eV/atom
distance to the lowest polymorph of the same formula: 1.78 kcal/mol of atoms

Below is a relaxed CeHo2Te crystal, with properties calculated at the PBE level.

Structure (POSCAR):
```
CeHo2Te
1.0
3.825 0.000 0.000
0.000 3.825 0.000
0.000 0.000 7.843
Ho Ce Te
2 1 1
direct
0.000 0.000 0.775 Ho
0.000 0.000 0.225 Ho
0.500 0.500 0.500 Ce
0.500 0.500 0.000 Te
```

Output
SG: No. 123
calculated total energy: -0.3725 Ry per atom
formation energy without anion corrections: -0.511 eV/atom
distance to the lowest polymorph of the same formula: 0.00 kcal/mol of atoms

Below is a relaxed CeHo2Te crystal, with properties calculated at the PBE level.

Structure (POSCAR):
```
CeHo2Te
1.0
-3.060 0.107 -2.243
2.488 -2.848 -0.318
-5.783 -3.383 7.727
Te Ce Ho
1 1 2
direct
0.584 0.925 0.552 Te
0.084 0.925 0.052 Ce
0.323 0.402 0.768 Ho
0.846 0.447 0.337 Ho
```

Output
SG: No. 166
calculated total energy: -0.3684 Ry per atom
formation energy without anion corrections: -0.454 eV/atom
distance to the lowest polymorph of the same formula: 1.30 kcal/mol of atoms

Below is a relaxed CeHoTe2 crystal, with properties calculated at the PBE level.

Structure (POSCAR):
```
CeHoTe2
1.0
4.370 0.000 0.000
2.185 3.784 0.000
2.185 1.261 7.349
Ce Te Ho
1 2 1
direct
0.500 0.500 0.500 Ce
0.254 0.254 0.237 Te
0.746 0.746 0.763 Te
0.000 0.000 0.000 Ho
```

Output
SG: No. 166
calculated total energy: -0.4057 Ry per atom
formation energy without anion corrections: -1.321 eV/atom
distance to the lowest polymorph of the same formula: 0.00 kcal/mol of atoms

Summary of calculated density in g/cm3
8.383; 10.057; 9.015; 8.788; 8.818; 9.720; 8.779; 8.994; 9.032; 8.761; 7.355; 7.485; 6.002; 7.029; 8.164; 7.486; 7.233; 7.846; 6.900; 9.181; 8.648; 7.966; 7.655
(order as listed above)